Below is a relaxed structure of Sr5YTe6, with properties calculated at the PBE-GGA level.

Summary:
E_tot in eV per atom: -4.4612
Energy relative to the elements, uncorrected in eV per atom: -1.65

POSCAR file:
```
Sr5YTe6
1.0
4.044 -7.003 0.000
4.044 7.003 0.000
-2.696 0.000 7.624
Sr Y Te
5 1 6
Cartesian
0.000 0.000 0.000 Sr
2.696 4.682 3.812 Sr
4.044 2.387 0.000 Sr
4.044 -2.387 0.000 Sr
2.696 -4.682 3.812 Sr
2.696 0.000 3.812 Y
1.405 2.239 1.975 Te
0.119 0.000 5.664 Te
1.405 -2.239 1.975 Te
3.987 2.239 5.649 Te
5.272 0.000 1.959 Te
3.987 -2.239 5.649 Te
```